No. 1
This record from Alexandria describes a relaxed structure of LaBe4Re. The functional is GGA-PBEsol.

a b c (Å): 4.779 4.779 4.779
angles (deg): 60.00 60.00 60.00
Site moments in Bohr magnetons follow the coordinates.
Positions (direct):
1 Be 0.886 0.371 0.371  0.01
2 Be 0.371 0.886 0.371  0.01
3 Be 0.371 0.371 0.886  0.01
4 Re 0.000 0.000 0.000  0.29
5 La 0.750 0.750 0.750  0.06
6 Be 0.371 0.371 0.371  0.01

space group = No. 216
energy relative to the elements = 0.28 eV per atom

No. 2
This record from Alexandria describes a relaxed structure of Be2ZnCu. The functional is GGA-PBEsol.

a b c (Å): 2.790 2.704 6.028
angles (deg): 90.00 117.62 90.00
Positions (direct):
1 Cu 0.500 0.500 0.000
2 Be 0.772 0.000 0.772
3 Zn 0.000 0.500 0.500
4 Be 0.228 0.000 0.228

space group = No. 47
energy relative to the elements = -0.02 eV per atom

No. 3
This record from Alexandria describes a relaxed structure of Li2CoOs. The functional is GGA-PBEsol.

a b c (Å): 3.372 3.372 4.264
angles (deg): 90.00 90.00 90.00
Positions (direct):
1 Li 0.500 0.000 0.000
2 Li 0.000 0.500 0.000
3 Co 0.000 0.000 0.500
4 Os 0.500 0.500 0.500

space group = No. 123
offset from the most stable computed form = 20.4 kJ/mol of atoms
energy relative to the elements = 0.40 eV per atom

No. 4
This record from Alexandria describes a relaxed structure of PdI2N. The functional is GGA-PBEsol.

a b c (Å): 4.800 4.800 4.800
angles (deg): 60.00 60.00 60.00
Site moments in Bohr magnetons follow the coordinates.
Positions (direct):
1 I 0.250 0.250 0.250  -0.03
2 Pd 0.500 0.500 0.500  -0.13
3 I 0.750 0.750 0.750  -0.03
4 N 0.000 0.000 0.000  1.26

space group = No. 225
ΔE_f (raw) = 30.869 kcal/mol of atoms

No. 5
This record from Alexandria describes a relaxed structure of FeBi3Mo. The functional is GGA-PBEsol.

a b c (Å): 5.010 5.010 5.010
angles (deg): 90.00 90.00 90.00
Site moments in Bohr magnetons follow the coordinates.
Positions (direct):
1 Bi 0.000 0.500 0.000  -0.07
2 Bi 0.000 0.000 0.500  -0.07
3 Bi 0.500 0.000 0.000  -0.07
4 Fe 0.000 0.000 0.000  0.59
5 Mo 0.500 0.500 0.500  3.32

space group = No. 221
energy relative to the elements = 1.13 eV per atom

No. 6
This record from Alexandria describes a relaxed structure of Li2CaSb2. The functional is GGA-PBEsol.

a b c (Å): 4.430 4.430 6.731
angles (deg): 109.21 109.21 90.00
Positions (direct):
1 Li 0.250 0.750 0.500
2 Sb 0.619 0.619 0.237
3 Sb 0.381 0.381 0.763
4 Li 0.750 0.250 0.500
5 Ca 0.000 0.000 0.000

space group = No. 139
ΔE_f (raw) = -15.568 kcal/mol of atoms

No. 7
This record from Alexandria describes a relaxed structure of CsScAs2H2O8. The functional is GGA-PBEsol.

a b c (Å): 5.566 9.359 14.914
angles (deg): 90.00 97.00 90.00
Positions (direct):
1 O 0.744 0.710 0.928
2 O 0.717 0.319 0.892
3 As 0.213 0.652 0.559
4 Sc 0.243 0.969 0.847
5 Sc 0.243 0.531 0.347
6 O 0.776 0.596 0.767
7 O 0.759 0.182 0.051
8 O 0.916 0.616 0.570
9 O 0.592 0.472 0.394
10 O 0.426 0.695 0.278
11 O 0.717 0.181 0.392
12 As 0.719 0.756 0.813
13 O 0.241 0.818 0.949
14 O 0.920 0.620 0.287
15 H 0.774 0.795 0.970
16 O 0.084 0.384 0.430
17 O 0.283 0.819 0.608
18 As 0.719 0.744 0.313
19 O 0.283 0.681 0.108
20 Cs 0.768 0.494 0.106
21 H 0.336 0.692 0.177
22 H 0.336 0.808 0.677
23 O 0.241 0.682 0.449
24 O 0.224 0.404 0.233
25 As 0.787 0.152 0.941
26 O 0.920 0.880 0.787
27 H 0.226 0.205 0.030
28 O 0.916 0.884 0.070
29 O 0.256 0.290 0.072
30 O 0.744 0.790 0.428
31 O 0.408 0.528 0.606
32 O 0.408 0.972 0.106
33 O 0.426 0.805 0.778
34 Cs 0.232 0.506 0.894
35 As 0.281 0.244 0.187
36 O 0.759 0.318 0.551
37 O 0.574 0.305 0.722
38 As 0.281 0.256 0.687
39 O 0.080 0.380 0.713
40 O 0.080 0.120 0.213
41 Sc 0.757 0.031 0.153
42 O 0.574 0.195 0.222
43 H 0.664 0.308 0.823
44 O 0.224 0.096 0.733
45 O 0.592 0.028 0.894
46 H 0.664 0.192 0.323
47 Cs 0.232 0.994 0.394
48 As 0.213 0.848 0.059
49 H 0.774 0.705 0.470
50 Sc 0.757 0.469 0.653
51 O 0.084 0.116 0.930
52 O 0.776 0.904 0.267
53 O 0.256 0.210 0.572
54 Cs 0.768 0.006 0.606
55 H 0.226 0.295 0.530
56 As 0.787 0.348 0.441

space group = No. 14

No. 8
This record from Alexandria describes a relaxed structure of NaCl7. The functional is GGA-PBEsol.

a b c (Å): 5.853 5.853 5.853
angles (deg): 90.00 90.00 90.00
Positions (direct):
1 Cl 0.000 0.825 0.500
2 Na 0.000 0.000 0.000
3 Cl 0.500 0.000 0.825
4 Cl 0.825 0.500 0.000
5 Cl 0.500 0.000 0.175
6 Cl 0.500 0.500 0.500
7 Cl 0.000 0.175 0.500
8 Cl 0.175 0.500 0.000

space group = No. 200
ΔE_f (raw) = -3.950 kcal/mol of atoms

No. 9
This record from Alexandria describes a relaxed structure of ZnSi2Mo. The functional is GGA-PBEsol.

a b c (Å): 3.330 3.984 4.843
angles (deg): 114.29 110.11 90.00
Positions (direct):
1 Si 0.749 0.249 0.498
2 Si 0.003 0.003 0.006
3 Zn 0.492 0.492 0.983
4 Mo 0.257 0.757 0.513

space group = No. 44
ΔE_f (raw) = -0.431 kcal/mol of atoms

No. 10
This record from Alexandria describes a relaxed structure of ScP2WO. The functional is GGA-PBEsol.

a b c (Å): 3.738 4.774 4.774
angles (deg): 90.00 90.00 90.00
Positions (direct):
1 Sc 0.500 0.500 0.500
2 P 0.000 0.500 0.000
3 O 0.500 0.000 0.000
4 W 0.000 0.000 0.000
5 P 0.000 0.000 0.500

space group = No. 123
ΔE_f (raw) = -16.862 kcal/mol of atoms

No. 11
This record from Alexandria describes a relaxed structure of Rb2GdCl5. The functional is GGA-PBEsol.

a b c (Å): 8.118 8.681 12.977
angles (deg): 90.00 90.00 90.00
Site moments in Bohr magnetons follow the coordinates.
Positions (direct):
1 Cl 0.836 0.456 0.433  -0.01
2 Gd 0.071 0.250 0.505  6.90
3 Cl 0.146 0.250 0.305  -0.01
4 Cl 0.854 0.750 0.695  -0.01
5 Cl 0.354 0.250 0.805  -0.01
6 Cl 0.108 0.750 0.322  0.00
7 Gd 0.571 0.750 0.995  6.90
8 Cl 0.836 0.044 0.433  -0.01
9 Gd 0.929 0.750 0.495  6.90
10 Cl 0.392 0.750 0.822  0.00
11 Rb 0.935 0.493 0.170  0.00
12 Rb 0.435 0.507 0.330  0.00
13 Cl 0.097 0.250 0.012  -0.02
14 Rb 0.065 0.507 0.830  0.00
15 Cl 0.336 0.956 0.067  -0.01
16 Rb 0.565 0.493 0.670  0.00
17 Rb 0.565 0.007 0.670  0.00
18 Cl 0.664 0.044 0.933  -0.01
19 Cl 0.646 0.750 0.195  -0.01
20 Rb 0.065 0.993 0.830  0.00
21 Cl 0.664 0.456 0.933  -0.01
22 Rb 0.935 0.007 0.170  0.00
23 Cl 0.336 0.544 0.067  -0.01
24 Cl 0.164 0.956 0.567  -0.01
25 Rb 0.435 0.993 0.330  0.00
26 Gd 0.429 0.250 0.005  6.90
27 Cl 0.903 0.750 0.988  -0.02
28 Cl 0.608 0.250 0.178  0.00
29 Cl 0.892 0.250 0.678  0.00
30 Cl 0.597 0.750 0.488  -0.02
31 Cl 0.403 0.250 0.512  -0.02
32 Cl 0.164 0.544 0.567  -0.01

space group = No. 62
ΔE_f (raw) = -50.047 kcal/mol of atoms

No. 12
This record from Alexandria describes a relaxed structure of NbIrC3. The functional is GGA-PBEsol.

a b c (Å): 3.906 3.906 3.906
angles (deg): 90.00 90.00 90.00
Site moments in Bohr magnetons follow the coordinates.
Positions (direct):
1 C 0.000 0.500 0.000  0.04
2 C 0.000 0.000 0.500  0.04
3 Nb 0.500 0.500 0.500  0.71
4 Ir 0.000 0.000 0.000  0.26
5 C 0.500 0.000 0.000  0.04

space group = No. 221
energy relative to the elements = 2.01 eV per atom

Computed E_tot (eV per atom) in order:
-5.500; -3.504; -5.575; -3.166; -5.587; -3.711; -6.506; -2.103; -6.230; -8.180; -5.488; -7.908
Computed spin magnetization (Bohr magnetons per cell) in order:
0.5; 0.0; 0.0; 1.6; 4.2; 0.0; 0.0; 0.0; 0.0; 0.0; 27.8; 1.3